Below is crystalline NaY2MnSe4 at its relaxed geometry, with properties calculated at the PBE-GGA level.

a = 5.7350 Å, b = 5.7350 Å, c = 7.0263 Å
α = 114.09°, β = 114.09°, γ = 90.00°
Fractional positions:
Na1 0.5000 0.5000 0.0000
Y1 0.2500 0.7500 0.5000
Y2 0.0000 0.0000 0.0000
Mn1 0.7500 0.2500 0.5000
Se1 0.9951 0.4951 0.9902
Se2 0.5049 0.0049 0.0098
Se3 0.7516 0.7516 0.5032
Se4 0.2484 0.2484 0.4968

Properties
Formation energy (no corrections) (eV per atom): -1.356
Total energy (eV per atom): -6.03

Below is crystalline RbDy2AuS4 at its relaxed geometry, with properties calculated at the PBE-GGA level.

a = 4.0580 Å, b = 7.2056 Å, c = 14.1568 Å
α = 90.00°, β = 90.00°, γ = 106.35°
Fractional positions:
Rb1 0.1182 0.2365 0.7500
Rb2 0.8818 0.7635 0.2500
Dy1 0.3689 0.7378 0.5663
Dy2 0.6311 0.2622 0.0663
Dy3 0.6311 0.2622 0.4337
Dy4 0.3689 0.7378 0.9337
Au1 0.8393 0.6787 0.7500
Au2 0.1607 0.3213 0.2500
S1 0.2594 0.5187 0.1000
S2 0.7406 0.4813 0.6000
S3 0.7406 0.4813 0.9000
S4 0.2594 0.5187 0.4000
S5 0.0000 0.0000 0.5000
S6 0.0000 0.0000 0.0000
S7 0.4427 0.8854 0.7500
S8 0.5573 0.1146 0.2500

Properties
Formation energy (no corrections) (eV per atom): -1.533
Total energy (eV per atom): -5.28

Below is crystalline LiPaRhO4 at its relaxed geometry, with properties calculated at the PBE-GGA level.

a = 6.1393 Å, b = 6.3977 Å, c = 6.9858 Å
α = 123.09°, β = 90.00°, γ = 118.67°
Fractional positions:
Li1 0.8624 0.7247 0.1124
Li2 0.1376 0.2753 0.8876
Pa1 0.5000 0.0000 0.5000
Pa2 0.5000 0.0000 0.0000
Rh1 0.5000 0.5000 0.5000
Rh2 0.0000 0.5000 0.5000
O1 0.7489 0.4978 0.7075
O2 0.2503 0.9392 0.2196
O3 0.6889 0.9392 0.2196
O4 0.7489 0.4978 0.2903
O5 0.2511 0.5022 0.7097
O6 0.7497 0.0608 0.7804
O7 0.3111 0.0608 0.7804
O8 0.2511 0.5022 0.2925

Properties
Formation energy (no corrections) (eV per atom): -2.235
Total energy (eV per atom): -7.75

Below is crystalline SrClF3 at its relaxed geometry, with properties calculated at the PBE-GGA level.

a = 4.7916 Å, b = 4.7916 Å, c = 4.7916 Å
α = 90.00°, β = 90.00°, γ = 90.00°
Fractional positions:
Sr1 0.0000 0.0000 0.0000
F1 0.0000 0.5000 0.0000
F2 0.0000 0.0000 0.5000
F3 0.5000 0.0000 0.0000
Cl1 0.5000 0.5000 0.5000

Properties
Formation energy (no corrections) (eV per atom): -1.982
Energy above the most stable polymorph in this dataset (meV per atom): 478.5
Total energy (eV per atom): -3.81

Below is crystalline YHg2Cl at its relaxed geometry, with properties calculated at the PBE-GGA level.

a = 3.5416 Å, b = 4.8144 Å, c = 5.7441 Å
α = 90.00°, β = 90.00°, γ = 90.00°
Fractional positions:
Cl1 0.0000 0.5000 0.5000
Hg1 0.0000 0.0000 0.0000
Hg2 0.5000 0.5000 0.0000
Y1 0.5000 0.0000 0.5000

Properties
Formation energy (no corrections) (eV per atom): -0.631
Energy above the most stable polymorph in this dataset (meV per atom): 78.8
Total energy (eV per atom): -2.86

Below is crystalline Cd3As2 at its relaxed geometry, with properties calculated at the PBE-GGA level.

a = 7.0076 Å, b = 7.0016 Å, c = 7.3432 Å
α = 61.70°, β = 61.50°, γ = 59.97°
Fractional positions:
Cd1 0.2496 0.5400 0.7509
Cd2 0.5405 0.9600 0.7491
Cd3 0.9605 0.2500 0.7500
Cd4 0.0395 0.7500 0.2500
Cd5 0.4595 0.0400 0.2509
Cd6 0.7504 0.4600 0.2491
As1 0.8614 0.8637 0.9129
As2 0.6380 0.6363 0.5871
As3 0.3620 0.3637 0.4129
As4 0.1386 0.1363 0.0871

Properties
Energy relative to the elements (kcal/mol of atoms): -0.6
Total energy (eV per atom): -2.43

Below is crystalline Mg2AlPt at its relaxed geometry, with properties calculated at the PBE-GGA level.

a = 5.0400 Å, b = 5.0400 Å, c = 5.0471 Å
α = 133.06°, β = 133.06°, γ = 68.44°
Fractional positions:
Al1 0.2500 0.7500 0.5000
Mg1 0.0000 0.0000 0.0000
Mg2 0.5000 0.5000 0.0000
Pt1 0.7500 0.2500 0.5000

Properties
Energy relative to the elements (kcal/mol of atoms): -12.0
Total energy (eV per atom): -3.76

Below is crystalline HgPtF2 at its relaxed geometry, with properties calculated at the PBE-GGA level.

a = 4.3512 Å, b = 4.3512 Å, c = 4.3512 Å
α = 60.00°, β = 60.00°, γ = 60.00°
Fractional positions:
Hg1 0.5000 0.5000 0.5000
Pt1 0.0000 0.0000 0.0000
F1 0.2500 0.2500 0.2500
F2 0.7500 0.7500 0.7500

Properties
Formation energy (no corrections) (eV per atom): -0.262
Energy above the most stable polymorph in this dataset (meV per atom): 573.9
Total energy (eV per atom): -2.78

Below is crystalline Ce2SmN at its relaxed geometry, with properties calculated at the PBE-GGA level.

a = 3.1362 Å, b = 3.1362 Å, c = 8.9952 Å
α = 90.00°, β = 90.00°, γ = 90.00°
Fractional positions:
Ce1 0.0000 0.0000 0.8423
Ce2 0.0000 0.0000 0.1577
Sm1 0.5000 0.5000 0.5000
N1 0.5000 0.5000 0.0000

Properties
Formation energy (no corrections) (eV per atom): -0.284
Energy above the most stable polymorph in this dataset (meV per atom): 336.7
Total energy (eV per atom): -6.51

Below is crystalline HoMnTe2 at its relaxed geometry, with properties calculated at the PBE-GGA level.

a = 3.9066 Å, b = 3.9066 Å, c = 9.4831 Å
α = 78.11°, β = 78.11°, γ = 60.00°
Fractional positions:
Te1 0.1092 0.1092 0.6725
Te2 0.8908 0.8908 0.3275
Ho1 0.0000 0.0000 0.0000
Mn1 0.5000 0.5000 0.5000

Properties
Formation energy (no corrections) (eV per atom): -0.193
Total energy (eV per atom): -5.20

Below is crystalline YNCl2 at its relaxed geometry, with properties calculated at the PBE-GGA level.

a = 10.5330 Å, b = 10.5330 Å, c = 10.5330 Å
α = 23.26°, β = 23.26°, γ = 23.26°
Fractional positions:
Y1 0.0000 0.0000 0.0000
N1 0.5000 0.5000 0.5000
Cl1 0.9208 0.9208 0.9208
Cl2 0.0792 0.0792 0.0792

Properties
Formation energy (no corrections) (eV per atom): 0.419
Energy above the most stable polymorph in this dataset (meV per atom): 775.5
Total energy (eV per atom): -4.20

Below is crystalline CrMoRu3 at its relaxed geometry, with properties calculated at the PBE-GGA level.

a = 4.3580 Å, b = 4.3580 Å, c = 4.3580 Å
α = 90.00°, β = 90.00°, γ = 90.00°
Fractional positions:
Ru1 0.0000 0.5000 0.0000
Ru2 0.0000 0.0000 0.5000
Ru3 0.5000 0.0000 0.0000
Mo1 0.5000 0.5000 0.5000
Cr1 0.0000 0.0000 0.0000

Properties
Energy relative to the elements (kcal/mol of atoms): 31.1
Energy above the most stable polymorph in this dataset (meV per atom): 0.0
Total energy (eV per atom): -8.31

Below is crystalline Ag3SnTe2 at its relaxed geometry, with properties calculated at the PBE-GGA level.

a = 4.5238 Å, b = 8.2688 Å, c = 9.8517 Å
α = 83.73°, β = 76.73°, γ = 74.12°
Fractional positions:
Ag1 0.6651 0.1282 0.5415
Ag2 0.9884 0.3953 0.6279
Ag3 0.3218 0.5894 0.7670
Ag4 0.6782 0.4106 0.2330
Ag5 0.0116 0.6047 0.3721
Ag6 0.3349 0.8718 0.4585
Sn1 0.1023 0.8165 0.9789
Sn2 0.8977 0.1835 0.0211
Te1 0.4691 0.2433 0.8185
Te2 0.5309 0.7567 0.1815
Te3 0.1993 0.2331 0.3684
Te4 0.8007 0.7669 0.6316

Properties
Formation energy (no corrections) (eV per atom): -0.027
Total energy (eV per atom): -3.17